This record from OQMD describes a relaxed LiPa2Se2 crystal. The functional is PBE.

Computed properties:
**DFT total energy**: -5.46 eV/atom

```
LiPa2Se2
1.0
0.000 6.265 7.144
2.920 0.000 7.144
2.920 6.265 0.000
Li Pa Se
2 4 4
Cartesian
0.730 1.566 1.786 Li
5.110 10.964 12.502 Li
0.000 0.000 0.000 Pa
1.460 3.133 0.000 Pa
1.460 0.000 3.572 Pa
0.000 3.133 3.572 Pa
2.190 2.377 5.358 Se
3.650 5.509 8.930 Se
2.190 7.021 5.358 Se
3.650 10.153 8.930 Se
```